Pr15Dy2In2 | PBE-GGA | relaxed

a = 11.1477 Å, b = 11.1477 Å, c = 18.3116 Å
α = 90.00°, β = 90.00°, γ = 120.00°
Space group R-3m (No. 166, hexagonal axes)
Inequivalent atoms, fractional coordinates:
Pr  0.0000  0.2896  0.0000 [18 per cell]
Pr  0.0000  0.5000  0.5000 [9 per cell]
Pr  0.0384  0.5192  0.1279 [18 per cell]
Dy  0.0000  0.0000  0.3004 [6 per cell]
In  0.0000  0.0000  0.0957 [6 per cell]

Formation enthalpy at 0 K in eV per formula unit: 2.6
VASP energy in eV for the cell shown: -251.3